1:
The following is a GGA-PBE calculation of crystalline LiHfIrPb at its relaxed geometry, from OQMD via LeMat-Bulk.

Unit cell a=4.6968 b=4.6968 c=4.6968 alpha=60.00 beta=60.00 gamma=60.00
Closest atoms and distances in Å follow each position.
Fractional positions:
Ir  0.0000  0.0000  0.0000  4 Hf 2.88, 4 Li 2.88
Pb  0.5000  0.5000  0.5000  4 Hf 2.88, 4 Li 2.88
Hf  0.2500  0.2500  0.2500  4 Pb 2.88, 4 Ir 2.88
Li  0.7500  0.7500  0.7500  4 Pb 2.88, 4 Ir 2.88

Computed properties:
Space-group type ... F-43m, No. 216
Theoretical density ... 13256 kg/m3
Volume ... 73.3 Å³/cell

2:
The following is a GGA-PBE calculation of crystalline LiHfIrPb at its relaxed geometry, from OQMD via LeMat-Bulk.

Unit cell a=4.6282 b=4.6282 c=4.6282 alpha=60.00 beta=60.00 gamma=60.00
Closest atoms and distances in Å follow each position.
Fractional positions:
Hf  0.0000  0.0000  0.0000  4 Li 2.83, 4 Ir 2.83
Li  0.7500  0.7500  0.7500  4 Pb 2.83, 4 Hf 2.83
Ir  0.2500  0.2500  0.2500  4 Pb 2.83, 4 Hf 2.83
Pb  0.5000  0.5000  0.5000  4 Li 2.83, 4 Ir 2.83

Computed properties:
Space-group type ... F-43m, No. 216
Theoretical density ... 13854 kg/m3
Volume ... 70.1 Å³/cell

Relative energies in kJ/mol of atoms: 1 23.4; 2 0.0